Record 1
Here is a relaxed structure of SmPHRu2 from Alexandria via LeMat-Bulk. Energies are from PBE.

Summary:
- Space group: Cmcm (63)
- V: 143 Å³/cell
- E_tot: -6.99 eV per atom

```
10
Lattice="1.8502 -5.3427 0.0000 1.8502 5.3427 0.0000 0.0000 0.0000 7.2360" Properties=species:S:1:pos:R:3 pbc="T T T"
Sm 1.8502 4.7608 5.4270
Sm 1.8502 -4.7608 1.8090
P 1.8502 2.9338 1.8090
P 1.8502 -2.9338 5.4270
H 1.8502 0.0000 0.0000
H 1.8502 0.0000 3.6180
Ru 1.8502 1.7401 4.0380
Ru 1.8502 1.7401 6.8160
Ru 1.8502 -1.7401 0.4200
Ru 1.8502 -1.7401 3.1980
```

***

Record 2
Here is a relaxed structure of SmPHRu from Alexandria via LeMat-Bulk. Energies are from PBE.

Summary:
- Space group: P4/nmm (129)
- V: 121 Å³/cell
- E_tot: -6.65 eV per atom

```
8
Lattice="4.0115 0.0000 0.0000 0.0000 4.0115 0.0000 0.0000 0.0000 7.5224" Properties=species:S:1:pos:R:3 pbc="T T T"
Sm 1.0029 1.0029 1.2646
Sm 3.0086 3.0086 6.2578
P 1.0029 1.0029 4.9857
P 3.0086 3.0086 2.5367
H 1.0029 3.0086 0.0000
H 3.0086 1.0029 0.0000
Ru 1.0029 3.0086 3.7612
Ru 3.0086 1.0029 3.7612
```

***

Question: E_tot of number 2 (SmPHRu)?
Answer: -6.65 eV per atom

***

Question: Among the records above, which one has the highest V?
Answer: SmPHRu2

***

Question: Which of these has the highest E_tot?
Answer: SmPHRu